Compound: Tl3GeRh
Source: Alexandria
Functional: PBE
Structure: relaxed

Output
- DOS at the Fermi energy: 9.50 states/eV/cell
- E_form: 951 meV/atom
- Calculated volume: 30.7 A^3/atom
- ΔE to the lowest computed polymorph: 603 meV per atom

Cell lengths 5.353, 5.353, 5.353 Å; angles 90.00, 90.00, 90.00 degrees
Each line ends with the local moment (μB).
Atoms (fractional coordinates):
Tl 0.000 0.500 0.000  -0.01
Tl 0.000 0.000 0.500  -0.01
Tl 0.500 0.000 0.000  0.00
Rh 0.500 0.500 0.500  0.74
Ge 0.000 0.000 0.000  0.00